DFT (GGA-PBE) results for Sm2Ga3Ni2 after structural relaxation.

Lattice parameters (Å, degrees): 4.1778 18.2116 6.9618 90.00 90.00 90.00
Closest atoms and distances in Å follow each position.
Space group Cmcm (No. 63)
One atom of each set of equivalent atoms:
Sm  0.0000  0.0590  0.2500 [4 per cell]  9 Ga 2.98-3.30
Sm  0.0000  0.1623  0.7500 [4 per cell]  6 Ni 2.95-3.05, 6 Ga 2.96-3.04
Ga  0.0000  0.2227  0.2500 [4 per cell]  6 Ni 2.54-2.63
Ga  0.0000  0.4372  0.0693 [8 per cell]  2 Ga 2.48-2.52, 1 Ni 2.54
Ni  0.0000  0.3066  0.5577 [8 per cell]  4 Ga 2.54-2.63, 1 Ni 2.68

## Properties
- Total energy: -135.59 eV/cell
- Crystal system: orthorhombic
- Formation energy: -0.5451 eV/atom

***

DFT (GGA-PBE) results for Sm3Ga8Ni3 after structural relaxation.

Lattice parameters (Å, degrees): 15.6558 4.3738 8.7250 90.00 123.00 90.00
Closest atoms and distances in Å follow each position.
Space group C2/m (No. 12)
One atom of each set of equivalent atoms:
Sm  0.0000  0.0000  0.0000 [2 per cell]  8 Ga 3.12-3.15, 4 Ni 3.26
Sm  0.2123  0.5000  0.7008 [4 per cell]  11 Ga 2.97-3.33, 3 Ni 3.16-3.20
Ga  0.0102  0.5000  0.6814 [4 per cell]  3 Ni 2.45-2.65, 1 Ga 2.74
Ga  0.1331  0.0000  0.4258 [4 per cell]  1 Ni 2.50, 2 Ga 2.66
Ga  0.1481  0.5000  0.2691 [4 per cell]  1 Ni 2.40, 2 Ga 2.66
Ga  0.1539  0.0000  0.8736 [4 per cell]  3 Ni 2.45-2.58
Ni  0.0000  0.0000  0.5000 [2 per cell]  6 Ga 2.50-2.65
Ni  0.1541  0.5000  0.0003 [4 per cell]  5 Ga 2.40-2.58

## Properties
- Total energy: -126.97 eV/cell
- Crystal system: monoclinic
- Formation energy: -0.5549 eV/atom

***

DFT (GGA-PBE) results for Sm2GaNi4Sn3 after structural relaxation.

Lattice parameters (Å, degrees): 4.3325 4.3325 10.2142 90.00 90.00 90.00
Closest atoms and distances in Å follow each position.
Space group P-4m2 (No. 115)
One atom of each set of equivalent atoms:
Sm  0.0000  0.5000  0.2498 [2 per cell]  6 Sn 3.30-3.35, 8 Ni 3.32-3.35, 2 Ga 3.35
Ga  0.0000  0.0000  0.5000 [1 per cell]  4 Ni 2.52
Ni  0.0000  0.0000  0.0000 [1 per cell]  4 Sn 2.54
Ni  0.0000  0.5000  0.6252 [2 per cell]  3 Sn 2.50-2.52, 2 Ga 2.52
Ni  0.5000  0.5000  0.0000 [1 per cell]  4 Sn 2.54
Sn  0.0000  0.5000  0.8699 [2 per cell]  5 Ni 2.50-2.54
Sn  0.5000  0.5000  0.5000 [1 per cell]  4 Ni 2.52

## Properties
- Total energy: -52.96 eV/cell
- Crystal system: tetragonal
- Formation energy: -0.5356 eV/atom

***

DFT (GGA-PBE) results for Sm2Ga4NiSn2 after structural relaxation.

Lattice parameters (Å, degrees): 6.4268 6.4268 9.2186 90.00 90.00 90.00
Closest atoms and distances in Å follow each position.
Space group I4/mmm (No. 139)
One atom of each set of equivalent atoms:
Sm  0.0000  0.5000  0.2500 [4 per cell]  4 Sn 3.22, 8 Ga 3.24
Ga  0.2298  0.2298  0.0000 [8 per cell]  1 Ni 2.46
Ni  0.0000  0.0000  0.5000 [2 per cell]  4 Ga 2.46, 2 Sn 2.56
Sn  0.0000  0.0000  0.2221 [4 per cell]  1 Ni 2.56

## Properties
- Total energy: -79.02 eV/cell
- Crystal system: tetragonal
- Formation energy: -0.4639 eV/atom

***

DFT (GGA-PBE) results for Sm3Ga2Ni9Sn after structural relaxation.

Lattice parameters (Å, degrees): 6.0108 6.0108 9.0129 90.00 90.00 120.00
Closest atoms and distances in Å follow each position.
Space group P-3m1 (No. 164)
One atom of each set of equivalent atoms:
Sm  0.0000  0.0000  0.0000 [1 per cell]  12 Ni 2.78-3.01
Sm  0.3333  0.6667  0.7209 [2 per cell]  9 Ni 3.03-3.06
Ga  0.3333  0.6667  0.1772 [2 per cell]  6 Ni 2.24-2.36
Ni  0.0000  0.5000  0.0000 [3 per cell]  2 Ga 2.36
Ni  0.1331  0.2662  0.2674 [6 per cell]  1 Ga 2.24, 2 Ni 2.40
Sn  0.0000  0.0000  0.5000 [1 per cell]  6 Ni 2.51

## Properties
- Total energy: -77.93 eV/cell
- Crystal system: trigonal
- Formation energy: -0.1121 eV/atom

***

DFT (GGA-PBE) results for TbSmGaNi after structural relaxation.

Lattice parameters (Å, degrees): 4.3510 3.7910 11.0578 90.00 90.00 90.00
Closest atoms and distances in Å follow each position.
Space group Amm2 (No. 38)
One atom of each set of equivalent atoms:
Tb  0.0000  0.0000  0.0000 [2 per cell]  3 Ga 2.98-3.23, 4 Ni 3.00
Sm  0.5000  0.0000  0.2835 [2 per cell]  3 Ni 3.00-3.21, 4 Ga 3.00
Ga  0.0000  0.0000  0.7081 [2 per cell]  2 Ni 2.63
Ni  0.5000  0.0000  0.5737 [2 per cell]  2 Ga 2.63

## Properties
- Total energy: -39.99 eV/cell
- Crystal system: orthorhombic
- Formation energy: -0.4594 eV/atom

***

DFT (GGA-PBE) results for TbSmGa2Ni2 after structural relaxation.

Lattice parameters (Å, degrees): 4.3097 4.3097 7.1527 90.00 90.00 120.00
Closest atoms and distances in Å follow each position.
Space group P-3m1 (No. 164)
One atom of each set of equivalent atoms:
Tb  0.0000  0.0000  0.0000 [1 per cell]  6 Ni 3.02, 6 Ga 3.03
Sm  0.0000  0.0000  0.5000 [1 per cell]  6 Ga 3.10, 6 Ni 3.11
Ga  0.3333  0.6667  0.7588 [2 per cell]  3 Ni 2.49
Ni  0.3333  0.6667  0.2392 [2 per cell]  3 Ga 2.49

## Properties
- Total energy: -30.44 eV/cell
- Crystal system: trigonal
- Formation energy: -0.5797 eV/atom

***

DFT (GGA-PBE) results for Sm2ZnGa3Ni4 after structural relaxation.

Lattice parameters (Å, degrees): 4.1176 4.1176 9.9391 90.00 90.00 90.00
Closest atoms and distances in Å follow each position.
Space group P-4m2 (No. 115)
One atom of each set of equivalent atoms:
Sm  0.0000  0.5000  0.2451 [2 per cell]  6 Ga 3.15-3.26, 8 Ni 3.15-3.19, 2 Zn 3.26
Zn  0.0000  0.0000  0.5000 [1 per cell]  4 Ni 2.45
Ga  0.0000  0.5000  0.8752 [2 per cell]  5 Ni 2.39-2.40
Ga  0.5000  0.5000  0.5000 [1 per cell]  4 Ni 2.45
Ni  0.0000  0.0000  0.0000 [1 per cell]  4 Ga 2.40
Ni  0.0000  0.5000  0.6344 [2 per cell]  3 Ga 2.39-2.45, 2 Zn 2.45
Ni  0.5000  0.5000  0.0000 [1 per cell]  4 Ga 2.40

## Properties
- Total energy: -48.05 eV/cell
- Crystal system: tetragonal
- Formation energy: -0.5130 eV/atom